The following is a DFT calculation (PBE-GGA) of an optimized crystal structure of La6PrAl2.

Output
SG	P4_2/mnm (136)
DFT formation energy	266.2	meV/atom
Fermi-level density of states	34.015	states/eV/cell

a b c (Å): 8.087 8.087 10.936
angles (deg): 90.00 90.00 90.00
Atoms (fractional coordinates):
La 0.260 0.260 0.321
La 0.740 0.740 0.321
La 0.240 0.760 0.821
La 0.760 0.240 0.821
La 0.240 0.760 0.179
La 0.760 0.240 0.179
La 0.260 0.260 0.679
La 0.740 0.740 0.679
La 0.305 0.305 0.000
La 0.695 0.695 0.000
La 0.195 0.805 0.500
La 0.805 0.195 0.500
Pr 0.000 0.000 0.000
Pr 0.500 0.500 0.500
Al 0.000 0.000 0.302
Al 0.500 0.500 0.802
Al 0.500 0.500 0.198
Al 0.000 0.000 0.698